Li6Zn12Ag | PBE-GGA | optimized geometry

Theoretical density, g cm⁻³: 5.3
ΔH_f (0 K), meV/atom: -113
Total magnetization, μB/f.u.: 0.00

abc: 6.7902 6.7902 6.7902
angles: 101.04 101.04 101.04
Last column: nearest neighbours and their distance in Å.
Fractional positions:
Li1 0.0711 0.3341 0.3341  7 Zn 2.61-2.91, 2 Li 2.76, 1 Ag 2.83
Li2 0.3341 0.0711 0.3341  7 Zn 2.61-2.91, 2 Li 2.76, 1 Ag 2.83
Li3 0.3341 0.3341 0.0711  7 Zn 2.61-2.91, 2 Li 2.76, 1 Ag 2.83
Li4 0.6659 0.6659 0.9289  7 Zn 2.61-2.91, 2 Li 2.76, 1 Ag 2.83
Li5 0.6659 0.9289 0.6659  7 Zn 2.61-2.91, 2 Li 2.76, 1 Ag 2.83
Li6 0.9289 0.6659 0.6659  7 Zn 2.61-2.91, 2 Li 2.76, 1 Ag 2.83
Zn1 0.0977 0.0977 0.6795  7 Zn 2.51-2.81
Zn2 0.0977 0.6795 0.0977  7 Zn 2.51-2.81
Zn3 0.2397 0.5000 0.7603  4 Li 2.61-2.82, 6 Zn 2.63-2.81, 1 Ag 2.73
Zn4 0.2397 0.7603 0.5000  4 Li 2.61-2.82, 6 Zn 2.63-2.81, 1 Ag 2.73
Zn5 0.3205 0.9023 0.9023  7 Zn 2.51-2.81
Zn6 0.5000 0.2397 0.7603  4 Li 2.61-2.82, 6 Zn 2.63-2.81, 1 Ag 2.73
Zn7 0.5000 0.7603 0.2397  4 Li 2.61-2.82, 6 Zn 2.63-2.81, 1 Ag 2.73
Zn8 0.6795 0.0977 0.0977  7 Zn 2.51-2.81
Zn9 0.7603 0.2397 0.5000  4 Li 2.61-2.82, 6 Zn 2.63-2.81, 1 Ag 2.73
Zn10 0.7603 0.5000 0.2397  4 Li 2.61-2.82, 6 Zn 2.63-2.81, 1 Ag 2.73
Zn11 0.9023 0.3205 0.9023  7 Zn 2.51-2.81
Zn12 0.9023 0.9023 0.3205  7 Zn 2.51-2.81
Ag1 0.5000 0.5000 0.5000  6 Zn 2.73, 6 Li 2.83